Pm3Ge6IrPt2 | GGA-PBE | relaxed

The structure in extended XYZ format:
```
12
Lattice="5.984 0.000 0.000 -2.992 5.182 0.000 0.000 0.000 8.031" Properties=species:S:1:pos:R:3 pbc="T T T"
Pt 2.992 1.727 7.825
Pt 0.000 3.455 0.206
Ge 2.992 3.229 5.672
Ge 1.300 4.206 2.358
Ge -1.300 4.206 2.358
Ge 4.293 0.977 5.672
Ge 0.000 1.953 2.358
Ge 1.692 0.977 5.672
Ir 0.000 0.000 4.015
Pm 0.000 0.000 0.000
Pm 2.992 1.727 2.882
Pm 0.000 3.455 5.149
```

For the total energy, the calculation gives -5.66 eV/atom. Its space group is P-3m1, No. 164. For the formation energy, the calculation gives -419.5 meV/atom.



Hf5CdRu4 | GGA-PBE | relaxed

The structure in extended XYZ format:
```
10
Lattice="-1.484 -1.606 2.389 -1.063 -2.191 -2.133 14.121 -9.303 2.518" Properties=species:S:1:pos:R:3 pbc="T T T"
Hf 8.474 -8.320 1.866
Hf 0.419 -3.014 0.429
Hf 5.787 -6.550 1.387
Hf 3.100 -4.780 0.907
Hf 11.155 -10.086 2.344
Ru 8.401 -5.535 1.498
Ru 5.720 -3.768 1.020
Ru 3.020 -1.990 0.539
Ru 11.101 -7.313 1.979
Cd 0.000 0.000 0.000
```

For the total energy, the calculation gives -9.41 eV/atom. Its space group is P4/mmm, No. 123. For the formation energy, the calculation gives -628.2 meV/atom.



Hf2Tl2Bi | GGA-PBE | relaxed

The structure in extended XYZ format:
```
10
Lattice="-1.168 2.963 -8.387 8.355 -2.536 -2.060 -1.087 -2.878 -0.865" Properties=species:S:1:pos:R:3 pbc="T T T"
Hf 4.522 -2.654 -2.754
Hf 0.049 -0.637 -3.844
Hf 6.050 -1.814 -7.468
Hf 1.578 0.204 -8.558
Tl 6.542 -1.128 -4.467
Tl 4.638 0.755 -8.335
Tl 2.549 -0.328 -2.112
Tl 0.645 1.555 -5.980
Bi 0.000 0.000 0.000
Bi 3.593 0.213 -5.223
```

For the total energy, the calculation gives -5.42 eV/atom. Its space group is P4/mbm, No. 127. For the formation energy, the calculation gives 283.2 meV/atom. Its energy above the lowest structure with this stoichiometry is 180 meV/atom.



Number 1: Fermi-level density of states 8.42 states/eV/f.u., total magnetization 0.00 μB/f.u.. Number 2: Fermi-level density of states 5.61 states/eV/f.u., total magnetization 0.00 μB/f.u.. Number 3: Fermi-level density of states 3.37 states/eV/f.u., total magnetization 0.00 μB/f.u..